! BaLa2BeBr, optimized geometry, DFT GGA-PBEsol; values from VASP
&SYSTEM
  ibrav = 0, nat = 5, ntyp = 4
/
ATOMIC_SPECIES
Be 9.01 Be.upf
La 138.91 La.upf
Br 79.90 Br.upf
Ba 137.33 Ba.upf
CELL_PARAMETERS angstrom
5.5808 0.0000 0.0000
0.0000 5.5808 0.0000
0.0000 0.0000 5.9290
ATOMIC_POSITIONS angstrom
Be 2.7904 2.7904 2.9645
La 2.7904 0.0000 0.0000
La 0.0000 2.7904 0.0000
Br 0.0000 0.0000 0.0000
Ba 0.0000 0.0000 2.9645
! D(E_F): 0.974 states/eV/atom
! Energy relative to the elements, uncorrected: 0.7 eV/f.u.
! ρ: 4.53 g/cm3

***

! BaBeSe2Br, optimized geometry, DFT GGA-PBEsol; values from VASP
&SYSTEM
  ibrav = 0, nat = 5, ntyp = 4
/
ATOMIC_SPECIES
Ba 137.33 Ba.upf
Se 78.96 Se.upf
Be 9.01 Be.upf
Br 79.90 Br.upf
CELL_PARAMETERS angstrom
-3.7961 -1.3544 -2.3328
2.3988 0.1467 -3.9888
1.4348 -5.1794 0.6724
ATOMIC_POSITIONS angstrom
Ba 0.0187 -3.1936 -2.8246
Se -1.8981 -0.6772 -1.1664
Be 0.0000 0.0000 0.0000
Se 1.1994 0.0734 -1.9944
Br 0.7174 -2.5897 0.3362
! D(E_F): 0.298 states/eV/atom
! Energy relative to the elements, uncorrected: -5.3 eV/f.u.
! ρ: 5.43 g/cm3

***

! BaTiBe2C, optimized geometry, DFT GGA-PBEsol; values from VASP
&SYSTEM
  ibrav = 0, nat = 5, ntyp = 4
/
ATOMIC_SPECIES
Ba 137.33 Ba.upf
Be 9.01 Be.upf
C 12.01 C.upf
Ti 47.87 Ti.upf
CELL_PARAMETERS angstrom
-0.7254 -1.3197 -4.2061
4.3978 0.0774 -0.7827
0.4118 -5.7784 1.7421
ATOMIC_POSITIONS angstrom
Ba 0.2059 -2.8892 0.8710
Be 2.1989 0.0387 -0.3914
Be -0.3627 -0.6599 -2.1030
C 2.0421 -3.5104 -1.6234
Ti 0.0000 0.0000 0.0000
! D(E_F): 1.090 states/eV/atom
! Energy of formation from the pure elements: 226.4 kJ per mole of atoms
! ρ: 2.96 g/cm3

***

! BaCaBe, optimized geometry, DFT GGA-PBEsol; values from VASP
&SYSTEM
  ibrav = 0, nat = 3, ntyp = 3
/
ATOMIC_SPECIES
Be 9.01 Be.upf
Ca 40.08 Ca.upf
Ba 137.33 Ba.upf
CELL_PARAMETERS angstrom
4.2614 0.0000 0.0000
-2.1307 3.6905 0.0000
0.0000 0.0000 7.1915
ATOMIC_POSITIONS angstrom
Be 2.1307 1.2302 4.6360
Ca 0.0000 2.4603 3.0695
Ba 0.0000 0.0000 6.6775
! D(E_F): 1.017 states/eV/atom
! ΔE to the lowest computed polymorph: 0.000 eV/atom
! Energy of formation from the pure elements: 49.0 kJ per mole of atoms
! ρ: 2.74 g/cm3

***

! BaCaBe, optimized geometry, DFT GGA-PBEsol; values from VASP
&SYSTEM
  ibrav = 0, nat = 3, ntyp = 3
/
ATOMIC_SPECIES
Be 9.01 Be.upf
Ca 40.08 Ca.upf
Ba 137.33 Ba.upf
CELL_PARAMETERS angstrom
4.2431 0.0000 0.0000
0.0000 5.1897 0.0000
0.0000 -2.5949 4.4944
ATOMIC_POSITIONS angstrom
Be 2.1218 0.0000 2.9963
Ca 2.1216 2.5949 1.4981
Ba 4.2428 0.0000 0.0000
! D(E_F): 1.515 states/eV/atom
! ΔE to the lowest computed polymorph: 0.014 eV/atom
! Energy of formation from the pure elements: 50.4 kJ per mole of atoms
! ρ: 3.13 g/cm3

***

! BaCaBe, optimized geometry, DFT GGA-PBEsol; values from VASP
&SYSTEM
  ibrav = 0, nat = 3, ntyp = 3
/
ATOMIC_SPECIES
Be 9.01 Be.upf
Ba 137.33 Ba.upf
Ca 40.08 Ca.upf
CELL_PARAMETERS angstrom
5.2213 0.0000 0.0000
2.6107 4.5218 0.0000
2.6107 1.5073 4.2632
ATOMIC_POSITIONS angstrom
Be 5.2213 3.0145 2.1316
Ba 0.0000 0.0000 0.0000
Ca 2.6107 1.5073 1.0658
! D(E_F): 1.646 states/eV/atom
! ΔE to the lowest computed polymorph: 0.367 eV/atom
! Energy of formation from the pure elements: 84.4 kJ per mole of atoms
! ρ: 3.08 g/cm3

***

Number 1: magnetic moment 0.0 Bohr magnetons per cell, volume 184.66 Å³/cell. Number 2: magnetic moment 0.0 Bohr magnetons per cell, volume 117.46 Å³/cell. Number 3: magnetic moment 1.8 Bohr magnetons per cell, volume 120.74 Å³/cell. Number 4: magnetic moment 0.0 Bohr magnetons per cell, volume 113.10 Å³/cell. Number 5: magnetic moment 0.0 Bohr magnetons per cell, volume 98.97 Å³/cell. Number 6: magnetic moment 0.0 Bohr magnetons per cell, volume 100.65 Å³/cell.